No. 1
A plane-wave DFT calculation with PBE was carried out for crystalline HfMnTcAg2 at its relaxed geometry.

Output
* SG: P4/mmm
* formation energy: 41.6 kcal/mol of atoms

Lattice parameters (Å, degrees): 5.094 5.094 4.507 90.00 90.00 90.00
Fractional positions:
Hf1 0.000 0.000 0.000
Mn1 0.000 0.000 0.500
Tc1 0.500 0.500 0.500
Ag1 0.000 0.500 0.000
Ag2 0.500 0.000 0.000

***

No. 2
A plane-wave DFT calculation with PBE was carried out for crystalline Zn3O2F2 at its relaxed geometry.

Output
* ΔE_f (raw): -1.70 eV per atom
* SG: C2/m

Lattice parameters (Å, degrees): 5.361 5.361 5.427 100.58 100.58 32.80
Fractional positions:
Zn1 0.000 0.000 0.000
Zn2 0.225 0.225 0.760
Zn3 0.775 0.775 0.240
O1 0.374 0.374 0.085
O2 0.626 0.626 0.915
F1 0.149 0.149 0.378
F2 0.851 0.851 0.622

***

| no. | E_tot (eV/atom) | ρ (g/cm3) |
| --- | --- | --- |
| 1 | -5.234 | 7.77 |
| 2 | -4.200 | 5.33 |